Density functional theory data (PBE) for a relaxed Cr2CuMo crystal.

The structure in POSCAR format:
```
Cr2CuMo
1.0
-1.569 2.065 4.004
1.569 -2.065 4.004
1.569 2.065 -4.004
Cr Cu Mo
2 1 1
Cartesian
0.000 0.000 1.922
0.000 0.000 6.086
0.000 2.065 0.000
1.569 0.000 0.000
```

Properties
The value obtained for the formation energy is 0.31 eV/atom. The value obtained for the distance to the lowest polymorph of the same formula is 46 kJ/mol of formula units. Its total magnetization is 0.00 μB/cell. As for the crystal system: orthorhombic.